InRe2Pb after structural relaxation, computed with PBE-GGA.

Results
energy of formation from the pure elements = 0.6560 eV per atom
energy above the most stable polymorph in this dataset = 339.1 meV per atom
spin magnetization = 0.0000 μB per atom

Geometry as POSCAR:
```
InRe2Pb
1.0
-2.584 2.425 -2.554
-0.816 0.381 -4.274
-5.685 -4.361 -0.661
Re In Pb
2 1 1
Direct
0.261 0.261 0.189
0.987 0.987 0.075
0.505 0.505 0.440
0.748 0.748 0.796
```

---

BiBPd2Au after structural relaxation, computed with PBE-GGA.

Results
energy of formation from the pure elements = 1.6225 eV per atom
spin magnetization = 0.0000 μB per atom

Geometry as POSCAR:
```
BiBPd2Au
1.0
5.064 0.000 0.000
0.000 5.279 0.000
0.000 0.000 5.064
B Bi Pd Au
1 1 2 1
Direct
0.500 0.500 0.500
0.000 0.500 0.000
0.000 0.000 0.500
0.500 0.000 0.000
0.000 0.000 0.000
```

---

CsTa2Ti2 after structural relaxation, computed with PBE-GGA.

Results
energy of formation from the pure elements = 0.9019 eV per atom
energy above the most stable polymorph in this dataset = 0.0 meV per atom
spin magnetization = 0.0000 μB per atom

Geometry as POSCAR:
```
CsTa2Ti2
1.0
-3.599 -3.794 7.222
2.878 -7.977 -2.757
2.622 0.419 1.526
Ta Ti Cs
4 4 2
Direct
0.124 0.376 0.000
0.376 0.876 0.000
0.876 0.624 0.000
0.624 0.124 0.000
0.630 0.870 0.500
0.870 0.370 0.500
0.130 0.630 0.500
0.370 0.130 0.500
0.500 0.500 0.000
0.000 0.000 0.000
```

---

InSbTe after structural relaxation, computed with PBE-GGA.

Results
energy relative to the elements, uncorrected = 0.18 eV/atom
energy above the most stable polymorph in this dataset = 278.7 meV per atom
spin magnetization = 0.0000 μB per atom

Geometry as POSCAR:
```
InSbTe
1.0
5.251 0.000 0.000
2.626 4.548 0.000
2.626 1.516 4.287
Te Sb In
1 1 1
Direct
0.000 0.000 0.000
0.750 0.750 0.750
0.500 0.500 0.500
```

---

La2CoSe after structural relaxation, computed with PBE-GGA.

Results
energy relative to the elements, uncorrected = -0.80 eV/atom
spin magnetization = 0.0000 μB per atom

Geometry as POSCAR:
```
La2CoSe
1.0
3.622 0.000 0.000
0.000 3.659 0.020
0.000 2.536 7.348
La Se Co
2 1 1
Direct
0.000 0.934 0.983
0.000 0.566 0.517
0.500 0.250 0.250
0.500 0.750 0.750
```

---

Tb3PmPr8 after structural relaxation, computed with PBE-GGA.

Results
energy of formation from the pure elements = 0.5560 eV per atom
spin magnetization = 0.0000 μB per atom

Geometry as POSCAR:
```
Tb3PmPr8
1.0
-4.474 -1.426 -7.174
6.294 -5.487 1.948
-4.020 -1.057 7.500
Pr Pm Tb
8 1 3
Direct
0.000 0.873 0.625
0.000 0.744 0.247
0.752 0.127 0.127
0.000 0.247 0.744
0.497 0.753 0.753
0.503 0.256 0.256
0.248 0.375 0.375
0.000 0.625 0.873
0.000 0.000 0.000
0.500 0.750 0.250
0.500 0.250 0.750
0.000 0.500 0.500
```

---

RbRu2Cl8 after structural relaxation, computed with PBE-GGA.

Results
energy relative to the elements, uncorrected = -0.65 eV/atom
spin magnetization = 0.3330 μB per atom

Geometry as POSCAR:
```
RbRu2Cl8
1.0
-4.024 2.802 0.623
-3.824 -3.606 -9.705
-1.727 -2.100 7.819
Ru Cl Rb
2 8 1
Direct
0.303 0.382 0.764
0.697 0.618 0.236
0.706 0.823 0.232
0.603 0.813 0.624
0.305 0.593 0.773
0.695 0.407 0.227
0.789 0.413 0.827
0.211 0.587 0.173
0.397 0.187 0.376
0.294 0.177 0.768
0.000 0.000 0.000
```

---

DyThIr after structural relaxation, computed with PBE-GGA.

Results
energy of formation from the pure elements = -0.6609 eV per atom
energy above the most stable polymorph in this dataset = 0.0 meV per atom
spin magnetization = 0.0000 μB per atom

Geometry as POSCAR:
```
DyThIr
1.0
-2.555 -2.793 -0.969
2.418 -3.226 -4.956
2.640 -6.054 2.615
Ir Dy Th
2 2 2
Direct
0.033 0.750 0.184
0.312 0.560 0.815
0.334 0.906 0.427
0.758 0.356 0.128
0.000 0.426 0.574
0.587 0.941 0.885
```

---

Li5InAu3 after structural relaxation, computed with PBE-GGA.

Results
energy of formation from the pure elements = -0.4255 eV per atom
spin magnetization = 0.0000 μB per atom

Geometry as POSCAR:
```
Li5InAu3
1.0
-0.370 0.791 -5.521
-6.415 -4.637 -0.234
-0.787 7.792 1.170
Au Li In
6 10 2
Direct
0.750 0.344 0.344
0.750 0.656 0.000
0.250 0.000 0.344
0.250 0.344 0.000
0.750 0.000 0.656
0.250 0.656 0.656
0.750 0.000 0.334
0.500 0.667 0.333
0.250 0.334 0.334
0.750 0.666 0.666
0.500 0.333 0.667
0.000 0.667 0.333
0.750 0.334 0.000
0.250 0.666 0.000
0.250 0.000 0.666
0.000 0.333 0.667
0.500 0.000 0.000
0.000 0.000 0.000
```

---

Ac7Tl2Ru2 after structural relaxation, computed with PBE-GGA.

Results
energy of formation from the pure elements = -0.1978 eV per atom
energy above the most stable polymorph in this dataset = 0.0 meV per atom
spin magnetization = 0.0000 μB per atom

Geometry as POSCAR:
```
Ac7Tl2Ru2
1.0
-1.062 3.841 0.909
-9.280 -1.477 4.582
-0.031 -0.308 10.450
Tl Ac Ru
2 7 2
Direct
0.000 0.774 0.226
0.500 0.358 0.642
0.368 0.734 0.531
0.185 0.720 0.910
0.151 0.095 0.603
0.815 0.090 0.280
0.632 0.469 0.266
0.849 0.397 0.905
0.500 0.031 0.969
0.736 0.857 0.670
0.264 0.330 0.143
```

---

PbCl after structural relaxation, computed with PBE-GGA.

Results
energy relative to the elements, uncorrected = -0.46 eV/atom
spin magnetization = 0.0000 μB per atom

Geometry as POSCAR:
```
PbCl
1.0
-3.528 1.477 -6.170
-16.205 -5.016 8.065
-1.461 9.857 3.195
Pb Cl
16 16
Direct
0.000 0.383 0.000
0.750 0.367 0.750
0.500 0.117 0.000
0.500 0.617 0.500
0.500 0.383 0.500
0.000 0.117 0.500
0.250 0.133 0.250
0.250 0.633 0.750
0.500 0.883 0.000
0.750 0.633 0.250
0.000 0.883 0.500
0.250 0.867 0.750
0.250 0.367 0.250
0.000 0.617 0.000
0.750 0.133 0.750
0.750 0.867 0.250
0.742 0.000 0.000
0.508 0.750 0.250
0.258 0.000 0.000
0.742 0.500 0.500
0.758 0.500 0.000
0.008 0.750 0.750
0.008 0.250 0.250
0.258 0.500 0.500
0.242 0.500 0.000
0.508 0.250 0.750
0.992 0.750 0.250
0.242 0.000 0.500
0.758 0.000 0.500
0.492 0.250 0.250
0.992 0.250 0.750
0.492 0.750 0.750
```

---

Mn2FeHOs after structural relaxation, computed with PBE-GGA.

Results
energy above the most stable polymorph in this dataset = 0.0 meV per atom
spin magnetization = 0.0008 μB per atom

Geometry as POSCAR:
```
Mn2FeHOs
1.0
3.645 0.000 0.000
0.000 3.645 0.000
0.000 0.000 3.611
Mn H Os Fe
2 1 1 1
Direct
0.000 0.500 0.000
0.500 0.000 0.000
0.000 0.000 0.000
0.500 0.500 0.500
0.000 0.000 0.500
```

---

Ag3Ir after structural relaxation, computed with PBE-GGA.

Results
energy of formation from the pure elements = 0.5479 eV per atom
spin magnetization = 0.0000 μB per atom

Geometry as POSCAR:
```
Ag3Ir
1.0
5.180 0.000 0.000
0.000 5.180 0.000
0.000 0.000 5.180
Ag Ir
6 2
Direct
0.500 0.000 0.250
0.000 0.250 0.500
0.500 0.000 0.750
0.750 0.500 0.000
0.250 0.500 0.000
0.000 0.750 0.500
0.500 0.500 0.500
0.000 0.000 0.000
```

---

CsHoPdCl6 after structural relaxation, computed with PBE-GGA.

Results
energy relative to the elements, uncorrected = -1.59 eV/atom
spin magnetization = 0.2222 μB per atom

Geometry as POSCAR:
```
CsHoPdCl6
1.0
6.752 0.000 0.000
3.376 5.848 0.000
0.000 -0.001 7.900
Ho Cl Cs Pd
1 6 1 1
Direct
0.333 0.333 0.500
0.376 0.633 0.311
0.991 0.633 0.689
0.376 0.991 0.689
0.633 0.991 0.311
0.633 0.376 0.689
0.991 0.376 0.311
0.000 0.000 0.000
0.667 0.667 0.500
```

---

H5S2Cl2 after structural relaxation, computed with PBE-GGA.

Results
uncorrected energy = -60.6 eV for the cell shown
spin magnetization = 0.1111 μB per atom

Geometry as POSCAR:
```
H5S2Cl2
1.0
4.575 0.000 0.000
0.000 9.395 0.000
-2.288 -4.697 8.732
H S Cl
10 4 4
Direct
0.471 0.321 0.619
0.529 0.702 0.381
0.411 0.070 0.500
0.709 0.672 0.073
0.353 0.202 0.381
0.291 0.600 0.927
0.136 0.100 0.927
0.589 0.570 0.500
0.864 0.172 0.073
0.647 0.821 0.619
0.000 0.040 0.000
0.758 0.689 0.500
0.500 0.540 0.000
0.242 0.189 0.500
0.242 0.746 0.250
0.508 0.246 0.250
0.492 0.996 0.750
0.758 0.496 0.750
```

---

Ta2NbTlTe after structural relaxation, computed with PBE-GGA.

Results
energy relative to the elements, uncorrected = 1.99 eV/atom
spin magnetization = 0.0001 μB per atom

Geometry as POSCAR:
```
Ta2NbTlTe
1.0
-1.603 -2.454 4.026
5.198 -1.461 1.179
0.541 4.129 2.732
Te Ta Tl Nb
1 2 1 1
Direct
0.000 0.000 0.000
0.500 0.000 0.000
0.000 0.000 0.500
0.000 0.500 0.000
0.500 0.500 0.500
```

---

LiZnCr after structural relaxation, computed with PBE-GGA.

Results
energy of formation from the pure elements = 0.1212 eV per atom
energy above the most stable polymorph in this dataset = 46.7 meV per atom
spin magnetization = 0.0000 μB per atom

Geometry as POSCAR:
```
LiZnCr
1.0
13.299 0.000 -0.027
0.000 2.895 0.000
-0.183 0.000 4.349
Cr Zn Li
4 4 4
Direct
0.221 0.500 0.844
0.353 0.000 0.861
0.221 0.000 0.344
0.353 0.500 0.361
0.518 0.000 0.493
0.692 0.000 0.868
0.692 0.500 0.368
0.518 0.500 0.993
0.048 0.000 0.814
0.857 0.000 0.423
0.857 0.500 0.923
0.048 0.500 0.314
```

---

FeCu3Ni6 after structural relaxation, computed with PBE-GGA.

Results
energy of formation from the pure elements = 0.2193 eV per atom
energy above the most stable polymorph in this dataset = 219.4 meV per atom
spin magnetization = 0.6000 μB per atom

Geometry as POSCAR:
```
FeCu3Ni6
1.0
4.679 0.000 0.000
-2.340 4.052 0.000
0.000 0.000 6.348
Ni Cu Fe
6 3 1
Direct
0.556 0.000 0.183
0.556 0.556 0.817
0.000 0.556 0.183
0.444 0.444 0.183
0.000 0.444 0.817
0.444 0.000 0.817
0.333 0.667 0.500
0.000 0.000 0.500
0.667 0.333 0.500
0.000 0.000 0.000
```

---

AsIr3 after structural relaxation, computed with PBE-GGA.

Results
energy of formation from the pure elements = 0.2094 eV per atom
energy above the most stable polymorph in this dataset = 132.2 meV per atom
spin magnetization = 0.0000 μB per atom

Geometry as POSCAR:
```
AsIr3
1.0
4.754 0.003 -0.006
3.913 2.699 -0.006
1.097 0.342 4.692
Ir As
3 1
Direct
0.500 0.500 0.500
0.743 0.743 0.743
0.257 0.257 0.257
0.000 0.000 0.000
```

---

YTa2Pt2 after structural relaxation, computed with PBE-GGA.

Results
energy of formation from the pure elements = -0.5213 eV per atom
energy above the most stable polymorph in this dataset = 0.0 meV per atom
spin magnetization = 0.0000 μB per atom

Geometry as POSCAR:
```
YTa2Pt2
1.0
-2.887 -2.941 -0.899
0.716 -1.842 3.727
-5.223 0.925 3.848
Pt Ta Y
2 2 1
Direct
0.389 0.389 0.222
0.611 0.611 0.778
0.250 0.750 0.500
0.750 0.250 0.500
0.000 0.000 0.000
```